# PBE-GGA Ac2AgOsC, relaxed
data_Ac2AgOsC
_chemical_formula_sum 'Ac2 Ag1 Os1 C1'
_space_group_name_H-M_alt 'P 1'
_space_group_IT_number 1
_cell_length_a 3.952
_cell_length_b 5.590
_cell_length_c 5.590
_cell_angle_alpha 90.00
_cell_angle_beta 90.00
_cell_angle_gamma 90.00
loop_
_space_group_symop_operation_xyz
'x,y,z'
loop_
_atom_site_label
_atom_site_fract_x
_atom_site_fract_y
_atom_site_fract_z
Os1 0.500 0.000 0.000
Ag1 0.500 0.500 0.500
C1 0.000 0.000 0.000
Ac1 0.000 0.000 0.500
Ac2 0.000 0.500 0.000
# crystal system = tetragonal
# total magnetic moment = 0.00 μB/f.u.
# total energy = -0.2375 Ha/atom
# formation energy from the elements = -159 meV/atom
# mass density = 10274 kg/m³

---

# PBE-GGA Ac2AgRuC, relaxed
data_Ac2AgRuC
_chemical_formula_sum 'Ac2 Ag1 Ru1 C1'
_space_group_name_H-M_alt 'P 1'
_space_group_IT_number 1
_cell_length_a 3.958
_cell_length_b 5.583
_cell_length_c 5.583
_cell_angle_alpha 90.00
_cell_angle_beta 90.00
_cell_angle_gamma 90.00
loop_
_space_group_symop_operation_xyz
'x,y,z'
loop_
_atom_site_label
_atom_site_fract_x
_atom_site_fract_y
_atom_site_fract_z
Ac1 0.000 0.000 0.500
Ac2 0.000 0.500 0.000
Ru1 0.500 0.000 0.000
C1 0.000 0.000 0.000
Ag1 0.500 0.500 0.500
# crystal system = tetragonal
# total magnetic moment = 0.00 μB/f.u.
# total energy = -0.2236 Ha/atom
# formation energy from the elements = -172 meV/atom
# mass density = 9085 kg/m³

---

# PBE-GGA Ca3AcAg, relaxed
data_Ca3AcAg
_chemical_formula_sum 'Ca6 Ac2 Ag2'
_space_group_name_H-M_alt 'P 1'
_space_group_IT_number 1
_cell_length_a 4.161
_cell_length_b 7.152
_cell_length_c 13.200
_cell_angle_alpha 81.53
_cell_angle_beta 80.93
_cell_angle_gamma 73.09
loop_
_space_group_symop_operation_xyz
'x,y,z'
loop_
_atom_site_label
_atom_site_fract_x
_atom_site_fract_y
_atom_site_fract_z
Ca1 0.461 0.932 0.146
Ca2 0.795 0.028 0.382
Ca3 0.417 0.633 0.532
Ca4 0.751 0.743 0.755
Ca5 0.100 0.188 0.612
Ca6 0.990 0.117 0.903
Ag1 0.430 0.379 0.760
Ag2 0.785 0.281 0.149
Ac1 0.228 0.543 0.000
Ac2 0.103 0.493 0.301
# relative energy among the computed polymorphs = 0.0 kJ per mole of atoms
# crystal system = monoclinic
# total magnetic moment = 0.00 μB/f.u.
# total energy = -0.0992 Ha/atom
# formation energy from the elements = -108 meV/atom
# mass density = 4096 kg/m³

---

# PBE-GGA Ca3AcAg, relaxed
data_Ca3AcAg
_chemical_formula_sum 'Ca3 Ac1 Ag1'
_space_group_name_H-M_alt 'P 1'
_space_group_IT_number 1
_cell_length_a 5.831
_cell_length_b 5.831
_cell_length_c 5.831
_cell_angle_alpha 90.00
_cell_angle_beta 90.00
_cell_angle_gamma 90.00
loop_
_space_group_symop_operation_xyz
'x,y,z'
loop_
_atom_site_label
_atom_site_fract_x
_atom_site_fract_y
_atom_site_fract_z
Ca1 0.500 0.000 0.000
Ca2 0.000 0.500 0.000
Ca3 0.000 0.000 0.500
Ac1 0.500 0.500 0.500
Ag1 0.000 0.000 0.000
# relative energy among the computed polymorphs = 11.6 kJ per mole of atoms
# crystal system = cubic
# total magnetic moment = 0.00 μB/f.u.
# total energy = -0.0948 Ha/atom
# formation energy from the elements = 13 meV/atom
# mass density = 3812 kg/m³

---

# PBE-GGA CaAcAg10, relaxed
data_CaAcAg10
_chemical_formula_sum 'Ca1 Ac1 Ag10'
_space_group_name_H-M_alt 'P 1'
_space_group_IT_number 1
_cell_length_a 4.724
_cell_length_b 5.690
_cell_length_c 9.793
_cell_angle_alpha 90.00
_cell_angle_beta 90.00
_cell_angle_gamma 90.00
loop_
_space_group_symop_operation_xyz
'x,y,z'
loop_
_atom_site_label
_atom_site_fract_x
_atom_site_fract_y
_atom_site_fract_z
Ag1 0.000 0.000 0.326
Ag2 0.500 0.500 0.000
Ag3 0.500 0.250 0.249
Ag4 0.500 0.000 0.500
Ag5 0.500 0.750 0.249
Ag6 0.000 0.500 0.840
Ag7 0.500 0.250 0.751
Ag8 0.500 0.750 0.751
Ag9 0.000 0.000 0.674
Ag10 0.000 0.500 0.160
Ac1 0.000 0.500 0.500
Ca1 0.000 0.000 0.000
# crystal system = orthorhombic
# total magnetic moment = 0.00 μB/f.u.
# total energy = -0.1118 Ha/atom
# formation energy from the elements = -158 meV/atom
# mass density = 8489 kg/m³

---

# PBE-GGA CaAcAg, relaxed
data_CaAcAg
_chemical_formula_sum 'Ca1 Ac1 Ag1'
_space_group_name_H-M_alt 'P 1'
_space_group_IT_number 1
_cell_length_a 3.865
_cell_length_b 3.865
_cell_length_c 7.294
_cell_angle_alpha 105.36
_cell_angle_beta 105.36
_cell_angle_gamma 90.00
loop_
_space_group_symop_operation_xyz
'x,y,z'
loop_
_atom_site_label
_atom_site_fract_x
_atom_site_fract_y
_atom_site_fract_z
Ag1 0.660 0.660 0.320
Ac1 0.308 0.308 0.616
Ca1 0.032 0.032 0.064
# relative energy among the computed polymorphs = 0.9 kJ per mole of atoms
# crystal system = tetragonal
# total magnetic moment = 0.00 μB/f.u.
# total energy = -0.1157 Ha/atom
# formation energy from the elements = -160 meV/atom
# mass density = 6163 kg/m³

---

# PBE-GGA CaAcAg4, relaxed
data_CaAcAg4
_chemical_formula_sum 'Ca1 Ac1 Ag4'
_space_group_name_H-M_alt 'P 1'
_space_group_IT_number 1
_cell_length_a 4.306
_cell_length_b 4.306
_cell_length_c 9.281
_cell_angle_alpha 103.41
_cell_angle_beta 103.41
_cell_angle_gamma 90.00
loop_
_space_group_symop_operation_xyz
'x,y,z'
loop_
_atom_site_label
_atom_site_fract_x
_atom_site_fract_y
_atom_site_fract_z
Ag1 0.827 0.327 0.654
Ag2 0.673 0.173 0.346
Ag3 0.580 0.580 0.160
Ag4 0.420 0.420 0.840
Ca1 0.250 0.750 0.500
Ac1 0.000 0.000 0.000
# relative energy among the computed polymorphs = 6.2 kJ per mole of atoms
# crystal system = tetragonal
# total magnetic moment = 0.00 μB/f.u.
# total energy = -0.1156 Ha/atom
# formation energy from the elements = -228 meV/atom
# mass density = 7136 kg/m³

---

# PBE-GGA CaAc4Ag, relaxed
data_CaAc4Ag
_chemical_formula_sum 'Ca1 Ac4 Ag1'
_space_group_name_H-M_alt 'P 1'
_space_group_IT_number 1
_cell_length_a 3.958
_cell_length_b 3.958
_cell_length_c 15.313
_cell_angle_alpha 90.00
_cell_angle_beta 90.00
_cell_angle_gamma 90.00
loop_
_space_group_symop_operation_xyz
'x,y,z'
loop_
_atom_site_label
_atom_site_fract_x
_atom_site_fract_y
_atom_site_fract_z
Ag1 0.500 0.500 0.500
Ac1 0.500 0.500 0.815
Ac2 0.000 0.000 0.369
Ac3 0.000 0.000 0.631
Ac4 0.500 0.500 0.185
Ca1 0.000 0.000 0.000
# crystal system = tetragonal
# total magnetic moment = 0.00 μB/f.u.
# total energy = -0.1325 Ha/atom
# formation energy from the elements = -59 meV/atom
# mass density = 7309 kg/m³

---

# PBE-GGA CaAcAg4, relaxed
data_CaAcAg4
_chemical_formula_sum 'Ca1 Ac1 Ag4'
_space_group_name_H-M_alt 'P 1'
_space_group_IT_number 1
_cell_length_a 5.894
_cell_length_b 5.894
_cell_length_c 5.894
_cell_angle_alpha 60.00
_cell_angle_beta 60.00
_cell_angle_gamma 60.00
loop_
_space_group_symop_operation_xyz
'x,y,z'
loop_
_atom_site_label
_atom_site_fract_x
_atom_site_fract_y
_atom_site_fract_z
Ag1 0.626 0.626 0.626
Ag2 0.626 0.626 0.121
Ag3 0.121 0.626 0.626
Ag4 0.626 0.121 0.626
Ac1 0.250 0.250 0.250
Ca1 0.000 0.000 0.000
# relative energy among the computed polymorphs = 8.7 kJ per mole of atoms
# crystal system = cubic
# total magnetic moment = 0.00 μB/f.u.
# total energy = -0.1147 Ha/atom
# formation energy from the elements = -202 meV/atom
# mass density = 8014 kg/m³

---

# PBE-GGA Ca3AcAg4, relaxed
data_Ca3AcAg4
_chemical_formula_sum 'Ca3 Ac1 Ag4'
_space_group_name_H-M_alt 'P 1'
_space_group_IT_number 1
_cell_length_a 5.355
_cell_length_b 5.355
_cell_length_c 9.267
_cell_angle_alpha 73.21
_cell_angle_beta 73.21
_cell_angle_gamma 60.00
loop_
_space_group_symop_operation_xyz
'x,y,z'
loop_
_atom_site_label
_atom_site_fract_x
_atom_site_fract_y
_atom_site_fract_z
Ac1 0.000 0.000 0.000
Ag1 0.126 0.126 0.623
Ag2 0.874 0.874 0.377
Ag3 0.378 0.378 0.867
Ag4 0.622 0.622 0.133
Ca1 0.753 0.753 0.741
Ca2 0.247 0.247 0.259
Ca3 0.500 0.500 0.500
# crystal system = trigonal
# total magnetic moment = 0.00 μB/f.u.
# total energy = -0.1098 Ha/atom
# formation energy from the elements = -297 meV/atom
# mass density = 5960 kg/m³

---

# PBE-GGA CaAc4Ag4, relaxed
data_CaAc4Ag4
_chemical_formula_sum 'Ca2 Ac8 Ag8'
_space_group_name_H-M_alt 'P 1'
_space_group_IT_number 1
_cell_length_a 6.443
_cell_length_b 9.858
_cell_length_c 9.858
_cell_angle_alpha 90.00
_cell_angle_beta 90.00
_cell_angle_gamma 90.00
loop_
_space_group_symop_operation_xyz
'x,y,z'
loop_
_atom_site_label
_atom_site_fract_x
_atom_site_fract_y
_atom_site_fract_z
Ag1 0.618 0.238 0.625
Ag2 0.118 0.125 0.262
Ag3 0.882 0.262 0.875
Ag4 0.118 0.875 0.738
Ag5 0.382 0.625 0.762
Ag6 0.618 0.762 0.375
Ag7 0.382 0.375 0.238
Ag8 0.882 0.738 0.125
Ac1 0.392 0.307 0.921
Ac2 0.608 0.079 0.307
Ac3 0.608 0.921 0.693
Ac4 0.892 0.579 0.807
Ac5 0.108 0.193 0.579
Ac6 0.108 0.807 0.421
Ac7 0.392 0.693 0.079
Ac8 0.892 0.421 0.193
Ca1 0.000 0.000 0.000
Ca2 0.500 0.500 0.500
# crystal system = tetragonal
# total magnetic moment = 0.00 μB/f.u.
# total energy = -0.1262 Ha/atom
# formation energy from the elements = -120 meV/atom
# mass density = 7318 kg/m³

---

# PBE-GGA CaAcAg4, relaxed
data_CaAcAg4
_chemical_formula_sum 'Ca1 Ac1 Ag4'
_space_group_name_H-M_alt 'P 1'
_space_group_IT_number 1
_cell_length_a 6.114
_cell_length_b 6.114
_cell_length_c 4.844
_cell_angle_alpha 66.58
_cell_angle_beta 66.59
_cell_angle_gamma 85.19
loop_
_space_group_symop_operation_xyz
'x,y,z'
loop_
_atom_site_label
_atom_site_fract_x
_atom_site_fract_y
_atom_site_fract_z
Ag1 0.641 0.962 0.196
Ag2 0.866 0.533 0.298
Ag3 0.466 0.132 0.698
Ag4 0.036 0.358 0.801
Ac1 0.456 0.542 0.998
Ca1 0.042 0.956 0.498
# relative energy among the computed polymorphs = 0.0 kJ per mole of atoms
# crystal system = monoclinic
# total magnetic moment = 0.00 μB/f.u.
# total energy = -0.1180 Ha/atom
# formation energy from the elements = -292 meV/atom
# mass density = 7636 kg/m³

---

mass density of number 10 (Ca3AcAg4)?
5960 kg/m³

---

What did the ninth record say?
# PBE-GGA CaAcAg4, relaxed
data_CaAcAg4
_chemical_formula_sum 'Ca1 Ac1 Ag4'
_space_group_name_H-M_alt 'P 1'
_space_group_IT_number 1
_cell_length_a 5.894
_cell_length_b 5.894
_cell_length_c 5.894
_cell_angle_alpha 60.00
_cell_angle_beta 60.00
_cell_angle_gamma 60.00
loop_
_space_group_symop_operation_xyz
'x,y,z'
loop_
_atom_site_label
_atom_site_fract_x
_atom_site_fract_y
_atom_site_fract_z
Ag1 0.626 0.626 0.626
Ag2 0.626 0.626 0.121
Ag3 0.121 0.626 0.626
Ag4 0.626 0.121 0.626
Ac1 0.250 0.250 0.250
Ca1 0.000 0.000 0.000
# relative energy among the computed polymorphs = 8.7 kJ per mole of atoms
# crystal system = cubic
# total magnetic moment = 0.00 μB/f.u.
# total energy = -0.1147 Ha/atom
# formation energy from the elements = -202 meV/atom
# mass density = 8014 kg/m³